Below is a geometry-optimized MgVN2O structure, with properties calculated at the PBE with a Hubbard U level.

Cell lengths 3.797, 3.797, 3.798 Å; angles 90.00, 90.00, 90.00 degrees
Fractional positions:
Mg: 0.500 0.500 0.500
N: 0.000 0.500 0.000
N: 0.500 0.000 0.000
O: 0.000 0.000 0.500
V: 0.000 0.000 0.000

Properties
uncorrected energy	-32.26	eV/cell
V	11.0	Å³ per atom
N(E_F)	3.302	states/eV/cell
space group	P4/mmm, No. 123